Below is a relaxed Co2PtI8 crystal, with properties calculated at the PBE level.

Computed properties:
As for the total magnetization: 0.364 μB/atom. As for the total energy: -3.0122 eV/atom. The theoretical density comes out at 3.93 g/cm3.

CIF file:
```
data_Co2PtI8
_chemical_formula_sum 'Co2 Pt1 I8'
_space_group_name_H-M_alt 'P 1'
_space_group_IT_number 1
_cell_length_a 10.391
_cell_length_b 7.677
_cell_length_c 10.384
_cell_angle_alpha 107.64
_cell_angle_beta 87.61
_cell_angle_gamma 132.95
loop_
_space_group_symop_operation_xyz
'x,y,z'
loop_
_atom_site_label
_atom_site_type_symbol
_atom_site_fract_x
_atom_site_fract_y
_atom_site_fract_z
I1 I 0.650 0.312 0.474
Co1 Co 0.893 0.792 0.607
I2 I 0.350 0.688 0.526
Co2 Co 0.107 0.208 0.393
I3 I 0.146 0.955 0.797
I4 I 0.275 0.233 0.196
Pt1 Pt 0.000 0.000 0.000
I5 I 0.064 0.848 0.413
I6 I 0.725 0.767 0.804
I7 I 0.854 0.045 0.203
I8 I 0.936 0.152 0.587
```

Below is a relaxed Sb2RuAu crystal, with properties calculated at the PBE level.

Computed properties:
As for the total magnetization: 0.000 μB/atom. As for the total energy: -4.9522 eV/atom. The distance to the lowest polymorph of the same formula comes out at 191 meV/atom. The theoretical density comes out at 8.09 g/cm3.

CIF file:
```
data_Sb2RuAu
_chemical_formula_sum 'Sb4 Ru2 Au2'
_space_group_name_H-M_alt 'P 1'
_space_group_IT_number 1
_cell_length_a 6.310
_cell_length_b 6.310
_cell_length_c 7.150
_cell_angle_alpha 63.81
_cell_angle_beta 63.81
_cell_angle_gamma 90.00
loop_
_space_group_symop_operation_xyz
'x,y,z'
loop_
_atom_site_label
_atom_site_type_symbol
_atom_site_fract_x
_atom_site_fract_y
_atom_site_fract_z
Au1 Au 0.000 0.000 0.000
Ru1 Ru 0.500 0.500 0.000
Sb1 Sb 0.598 0.125 0.250
Au2 Au 0.750 0.250 0.500
Sb2 Sb 0.375 0.402 0.750
Sb3 Sb 0.152 0.625 0.250
Sb4 Sb 0.875 0.848 0.750
Ru2 Ru 0.250 0.750 0.500
```